Computed, not measured: crystalline KFeRhCl6 at its relaxed geometry at the PBE level of DFT.

Results
Raw total energy = -4.06 eV per atom
Formation energy without anion corrections = -21.82 kcal/mol of atoms
Symmetry = C2

Lattice parameters (Å, degrees): 6.3452 6.3452 6.9828 90.03 90.03 119.99
Last column: nearest neighbours and their distance in Å.
Element x y z (fractional)
K  0.0000  0.0000  0.0000  6 Cl 3.17-3.18
Fe  0.3329  0.6671  0.5000  6 Cl 2.46-2.47
Rh  0.6664  0.3336  0.5000  6 Cl 2.38
Cl  0.3748  0.0104  0.6933  1 Rh 2.38, 1 Fe 2.46
Cl  0.3756  0.3656  0.3060  1 Rh 2.38, 1 Fe 2.47
Cl  0.6344  0.6244  0.6940  1 Rh 2.38, 1 Fe 2.47
Cl  0.6360  0.0103  0.3065  1 Rh 2.38, 1 Fe 2.47
Cl  0.9897  0.3640  0.6935  1 Rh 2.38, 1 Fe 2.47
Cl  0.9896  0.6252  0.3067  1 Rh 2.38, 1 Fe 2.46